Entry 1:
A plane-wave DFT calculation with PBE was carried out for a relaxed ZrMn2Br crystal.

extended XYZ file:
```
4
Lattice="-4.372 -5.891 4.638 -1.564 -5.678 6.375 -3.990 -3.484 6.876" Properties=species:S:1:pos:R:3 pbc="T T T"
Mn -4.945 -7.500 8.912
Mn -0.018 -0.027 0.032
Br -7.445 -11.291 13.417
Zr -2.482 -3.764 4.472
```

Computed properties:
D(E_F): 3.40 states/eV/cell
Energy relative to the elements, uncorrected: 0.201 eV per atom
Space group: R-3m (166)
Volume: 20.070 Å³/atom
Mass density: 5813 kg/m³

---

Entry 2:
A plane-wave DFT calculation with PBE was carried out for a relaxed Zn2HRhAu crystal.

extended XYZ file:
```
5
Lattice="4.224 0.000 0.000 0.000 4.224 0.000 0.000 0.000 3.524" Properties=species:S:1:pos:R:3 pbc="T T T"
Au 2.112 2.112 1.762
Zn 0.000 2.112 0.000
Zn 2.112 0.000 0.000
H 0.000 0.000 0.000
Rh 0.000 0.000 1.762
```

Computed properties:
D(E_F): 2.01 states/eV/cell
Space group: P4/mmm (123)
Volume: 12.574 Å³/atom
Mass density: 11402 kg/m³
Energy: -3.487 eV per atom